No. 1
Crystalline Pr3Er2Sn4 at its relaxed geometry, computed with GGA-PBE.

Cell and atoms, written as POSCAR:
```
Pr3Er2Sn4
1.0
4.574 0.000 0.000
-2.287 6.763 -0.577
0.000 -3.600 9.302
Er Pr Sn
2 3 4
direct
0.681 0.363 0.348 Er
0.319 0.637 0.652 Er
0.000 0.000 0.000 Pr
0.622 0.244 0.698 Pr
0.378 0.756 0.302 Pr
0.930 0.860 0.584 Sn
0.293 0.587 0.938 Sn
0.070 0.140 0.416 Sn
0.707 0.413 0.062 Sn
```

Output
ΔE_f = -5.63 eV/f.u.
symmetry = No. 12

No. 2
Crystalline Ta2CuNiB at its relaxed geometry, computed with GGA-PBE.

Cell and atoms, written as POSCAR:
```
Ta2CuNiB
1.0
4.329 0.000 0.000
0.000 3.777 0.000
0.000 0.000 4.329
B Cu Ta Ni
1 1 2 1
direct
0.000 0.000 0.000 B
0.000 0.500 0.000 Cu
0.500 0.000 0.000 Ta
0.000 0.000 0.500 Ta
0.500 0.500 0.500 Ni
```

Output
ΔE_f = 0.69 eV/f.u.
symmetry = No. 123

No. 3
Crystalline LiAlZnHg at its relaxed geometry, computed with GGA-PBE.

Cell and atoms, written as POSCAR:
```
LiAlZnHg
1.0
-4.130 -1.760 0.988
-1.087 -4.240 -1.403
-0.374 -3.409 3.061
Li Zn Hg Al
1 1 1 1
direct
0.000 0.000 0.000 Li
0.750 0.750 0.750 Zn
0.250 0.250 0.250 Hg
0.500 0.500 0.500 Al
```

Output
ΔE_f = -0.44 eV/f.u.
symmetry = No. 216

No. 4
Crystalline Nd2Tm2In3 at its relaxed geometry, computed with GGA-PBE.

Cell and atoms, written as POSCAR:
```
Nd2Tm2In3
1.0
-3.845 -1.986 -1.652
0.116 -2.331 2.532
-8.852 6.456 6.346
In Nd Tm
3 2 2
direct
0.849 0.000 0.303 In
0.151 0.000 0.697 In
0.000 0.000 0.000 In
0.572 0.500 0.855 Nd
0.428 0.500 0.145 Nd
0.704 0.500 0.592 Tm
0.296 0.500 0.408 Tm
```

Output
energy relative to the lowest polymorph listed for this composition = 0 meV per atom
ΔE_f = -2.11 eV/f.u.
symmetry = No. 65

No. 5
Crystalline SmLuTl2 at its relaxed geometry, computed with GGA-PBE.

Cell and atoms, written as POSCAR:
```
SmLuTl2
1.0
3.782 0.000 0.000
0.000 3.782 0.000
0.000 0.000 7.653
Tl Sm Lu
2 1 1
direct
0.000 0.000 0.237 Tl
0.000 0.000 0.763 Tl
0.500 0.500 0.500 Sm
0.500 0.500 0.000 Lu
```

Output
energy relative to the lowest polymorph listed for this composition = 0 meV per atom
ΔE_f = -1.30 eV/f.u.
symmetry = No. 123

No. 6
Crystalline ZnIr2Rh at its relaxed geometry, computed with GGA-PBE.

Cell and atoms, written as POSCAR:
```
ZnIr2Rh
1.0
5.229 -0.007 -0.004
2.467 4.610 0.004
-3.214 -3.362 2.389
Rh Ir Zn
1 2 1
direct
0.494 0.494 0.000 Rh
0.004 0.004 0.000 Ir
0.752 0.252 0.500 Ir
0.250 0.750 0.500 Zn
```

Output
ΔE_f = 0.32 eV/f.u.
symmetry = No. 44

No. 7
Crystalline PuMgSc2Tl4 at its relaxed geometry, computed with GGA-PBE.

Cell and atoms, written as POSCAR:
```
PuMgSc2Tl4
1.0
-2.636 -3.143 -3.122
-0.256 -5.043 1.038
-8.139 -1.393 4.019
Mg Tl Pu Sc
1 4 1 2
direct
0.500 0.500 0.500 Mg
0.379 0.379 0.863 Tl
0.127 0.127 0.619 Tl
0.621 0.621 0.137 Tl
0.873 0.873 0.381 Tl
0.000 0.000 0.000 Pu
0.752 0.752 0.744 Sc
0.248 0.248 0.256 Sc
```

Output
ΔE_f = -0.86 eV/f.u.
symmetry = No. 166

No. 8
Crystalline W3Br at its relaxed geometry, computed with GGA-PBE.

Cell and atoms, written as POSCAR:
```
W3Br
1.0
5.103 -0.003 0.000
-2.255 4.578 0.000
0.000 0.000 2.903
W Br
3 1
direct
0.500 0.500 0.000 W
0.000 0.500 0.500 W
0.500 0.000 0.500 W
0.000 0.000 0.000 Br
```

Output
energy relative to the lowest polymorph listed for this composition = 503 meV per atom
symmetry = No. 65

no.,DFT total energy (eV/atom)
1,-5.01
2,-7.91
3,-1.92
4,-4.11
5,-3.82
6,-6.51
7,-4.86
8,-8.90